DFT (GGA-PBE) results for Rb3MgBi2S6 after structural relaxation.

ρ ... 4.5 g/cm³
Space group ... C2/m
Total DFT energy (no corrections) ... -47.1 eV per cell

Cell lengths 7.0505, 7.0505, 8.0667 Å; angles 98.38, 98.38, 120.00 degrees
Positions (direct):
Rb  0.0000  0.0000  0.0000
Rb  0.3299  0.6701  0.0000
Rb  0.6701  0.3299  0.0000
Mg  0.5000  0.5000  0.5000
Bi  0.1663  0.8337  0.5000
Bi  0.8337  0.1663  0.5000
S  0.1170  0.4359  0.3078
S  0.2453  0.2453  0.6935
S  0.4359  0.1170  0.3078
S  0.5641  0.8830  0.6922
S  0.7547  0.7547  0.3065
S  0.8830  0.5641  0.6922